1.
Below is an optimized crystal structure of Hg2RhAu, with properties calculated at the PBE-GGA level.

## Properties
formation enthalpy at 0 K	0.15	eV/atom
space group	Cm, No. 8

Lattice parameters (Å, degrees): 5.5292 5.5292 4.8944 110.34 110.34 32.86
Fractional coordinates of all 4 atoms:
Hg: 0.0000 0.0000 0.0000
Hg: 0.2224 0.2224 0.6122
Rh: 0.7391 0.7391 0.1066
Au: 0.4630 0.4630 0.4718

---

2.
Below is an optimized crystal structure of BaSrMn2, with properties calculated at the PBE-GGA level.

## Properties
ΔE to the lowest computed polymorph	238	meV per atom
formation enthalpy at 0 K	0.62	eV/atom
space group	Cm, No. 8

Lattice parameters (Å, degrees): 6.7700 6.7700 5.6261 114.38 114.38 32.99
Fractional coordinates of all 4 atoms:
Ba: 0.0000 0.0000 0.0000
Sr: 0.7956 0.7956 0.2969
Mn: 0.2347 0.2347 0.7360
Mn: 0.5701 0.5701 0.5700

---

3.
Below is an optimized crystal structure of SbSIBr2, with properties calculated at the PBE-GGA level.

## Properties
ΔE_f (raw)	5.881	kcal/mol of atoms
space group	P4/mmm, No. 123

Lattice parameters (Å, degrees): 4.9510 4.9510 6.0393 90.00 90.00 90.00
Fractional coordinates of all 5 atoms:
Sb: 0.0000 0.0000 0.0000
S: 0.0000 0.0000 0.5000
I: 0.5000 0.5000 0.0000
Br: 0.0000 0.5000 0.5000
Br: 0.5000 0.0000 0.5000

---

4.
Below is an optimized crystal structure of Be2CdBr, with properties calculated at the PBE-GGA level.

## Properties
ΔE to the lowest computed polymorph	310	meV per atom
ΔE_f (raw)	13.845	kcal/mol of atoms
space group	Cmmm, No. 65

Lattice parameters (Å, degrees): 3.4143 3.4143 7.7024 90.00 90.00 124.47
Fractional coordinates of all 4 atoms:
Be: 0.0000 0.0000 0.2436
Be: 0.0000 0.0000 0.7564
Cd: 0.5000 0.5000 0.5000
Br: 0.5000 0.5000 0.0000

---

5.
Below is an optimized crystal structure of GaHg4H2, with properties calculated at the PBE-GGA level.

## Properties
raw total energy	-0.0944	Ry/atom
space group	C2/m, No. 12

Lattice parameters (Å, degrees): 6.5483 6.5483 9.1660 128.05 128.05 28.86
Fractional coordinates of all 7 atoms:
Ga: 0.0000 0.0000 0.0000
Hg: 0.2871 0.2871 0.1969
Hg: 0.4304 0.4304 0.6863
Hg: 0.5696 0.5696 0.3137
Hg: 0.7129 0.7129 0.8031
H: 0.1284 0.1284 0.4572
H: 0.8716 0.8716 0.5428

---

6.
Below is an optimized crystal structure of Re3MoH, with properties calculated at the PBE-GGA level.

## Properties
raw total energy	-0.7453	Ry/atom
space group	Pm-3m, No. 221

Lattice parameters (Å, degrees): 3.9788 3.9788 3.9788 90.00 90.00 90.00
Fractional coordinates of all 5 atoms:
Re: 0.0000 0.0000 0.5000
Re: 0.0000 0.5000 0.0000
Re: 0.5000 0.0000 0.0000
Mo: 0.5000 0.5000 0.5000
H: 0.0000 0.0000 0.0000

---

7.
Below is an optimized crystal structure of MgAlAu2, with properties calculated at the PBE-GGA level.

## Properties
formation enthalpy at 0 K	-0.24	eV/atom
space group	I-42d, No. 122

Lattice parameters (Å, degrees): 5.9455 5.9455 5.9455 103.66 103.66 121.84
Fractional coordinates of all 8 atoms:
Mg: 0.0000 0.0000 0.0000
Mg: 0.7500 0.2500 0.5000
Al: 0.2500 0.7500 0.5000
Al: 0.5000 0.5000 0.0000
Au: 0.1572 0.6250 0.0322
Au: 0.3750 0.4072 0.5322
Au: 0.5928 0.1250 0.9678
Au: 0.8750 0.8428 0.4678

---

8.
Below is an optimized crystal structure of ReNiBP2, with properties calculated at the PBE-GGA level.

## Properties
ΔE to the lowest computed polymorph	106	meV per atom
formation enthalpy at 0 K	-0.03	eV/atom
space group	P1, No. 1

Lattice parameters (Å, degrees): 3.9419 4.1525 4.5106 72.23 69.99 75.80
Fractional coordinates of all 5 atoms:
Re: 0.0000 0.0000 0.0000
Ni: 0.5295 0.5174 0.2349
B: 0.0943 0.4443 0.1163
P: 0.2918 0.9965 0.4301
P: 0.5314 0.2981 0.7590

---

9.
Below is an optimized crystal structure of NaPmPb4, with properties calculated at the PBE-GGA level.

## Properties
ΔE to the lowest computed polymorph	111	meV per atom
formation enthalpy at 0 K	-0.04	eV/atom
space group	P4/mmm, No. 123

Lattice parameters (Å, degrees): 5.0908 5.0908 7.6103 90.00 90.00 90.00
Fractional coordinates of all 6 atoms:
Na: 0.0000 0.0000 0.0000
Pm: 0.5000 0.5000 0.5000
Pb: 0.0000 0.5000 0.2264
Pb: 0.0000 0.5000 0.7736
Pb: 0.5000 0.0000 0.2264
Pb: 0.5000 0.0000 0.7736

---

10.
Below is an optimized crystal structure of KTi3Mo, with properties calculated at the PBE-GGA level.

## Properties
ΔE to the lowest computed polymorph	1165	meV per atom
formation enthalpy at 0 K	2.08	eV/atom
space group	Pm-3m, No. 221

Lattice parameters (Å, degrees): 4.4468 4.4468 4.4468 90.00 90.00 90.00
Fractional coordinates of all 5 atoms:
K: 0.0000 0.0000 0.0000
Ti: 0.0000 0.0000 0.5000
Ti: 0.0000 0.5000 0.0000
Ti: 0.5000 0.0000 0.0000
Mo: 0.5000 0.5000 0.5000

---

11.
Below is an optimized crystal structure of NiRhSe, with properties calculated at the PBE-GGA level.

## Properties
ΔE to the lowest computed polymorph	54	meV per atom
ΔE_f (raw)	1.856	kcal/mol of atoms
space group	I4mm, No. 107

Lattice parameters (Å, degrees): 4.8521 4.8521 4.8521 142.50 142.50 54.07
Fractional coordinates of all 3 atoms:
Ni: 0.0000 0.0000 0.0000
Rh: 0.3191 0.3191 0.0000
Se: 0.6361 0.6361 0.0000

---

12.
Below is an optimized crystal structure of SmAlHg2, with properties calculated at the PBE-GGA level.

## Properties
formation enthalpy at 0 K	-0.22	eV/atom
space group	P4/mmm, No. 123

Lattice parameters (Å, degrees): 3.5874 3.5874 7.2722 90.00 90.00 90.00
Fractional coordinates of all 4 atoms:
Sm: 0.0000 0.0000 0.0000
Al: 0.0000 0.0000 0.5000
Hg: 0.5000 0.5000 0.2805
Hg: 0.5000 0.5000 0.7195